Entry from Alexandria via LeMat-Bulk: MnBCl2F after structural relaxation (PBE with a Hubbard U).

```
MnBCl2F
1.0
-2.2116 1.7958 -3.7150
2.3412 -2.9246 -2.8076
-3.3677 -3.1559 0.4793
B Mn Cl F
1 1 2 1
direct
0.0000 0.0000 0.5000 B
0.0000 0.0000 0.0000 Mn
0.5000 0.0000 0.0000 Cl
0.0000 0.5000 0.0000 Cl
0.5000 0.5000 0.5000 F
```

M_tot ... 3.61 μB per cell
Space-group type ... P4/mmm (123)
E_tot ... -3.669 eV per atom
Fermi-level density of states ... 6.40 states/eV/cell